# PrHo4Sc5 (PBE, optimized geometry)
# Relative energy among the computed polymorphs (meV per atom): 145
# Crystal system: tetragonal
# Energy of formation from the pure elements (eV per atom): 0.255
data_PrHo4Sc5
_space_group_name_H-M_alt 'I 4 m m'
_space_group_IT_number 107
_space_group_name_Hall 'I 4 -2'
_cell_length_a 10.0424
_cell_length_b 10.0424
_cell_length_c 5.7277
_cell_angle_alpha 90.00
_cell_angle_beta 90.00
_cell_angle_gamma 90.00
loop_
_atom_site_label
_atom_site_type_symbol
_atom_site_fract_x
_atom_site_fract_y
_atom_site_fract_z
Pr1 Pr 0.0000 0.0000 0.0000
Ho1 Ho 0.0000 0.3250 0.7293
Sc1 Sc 0.0000 0.0000 0.5261
Sc2 Sc 0.1899 0.1899 0.2788